Record 1
LiHo2Rh | Alexandria | PBE-GGA | optimized geometry; volume = 125.2 Å³ per cell; total magnetic moment = 0.00 μB per cell; formation enthalpy at 0 K = -232 meV per atom
1.0
-2.0308 -2.2144 2.3663
-1.2754 -3.4038 -1.1892
7.2342 -6.1104 3.5812
Ho Li Rh
2 1 1
direct
0.8863 0.8863 0.3410 Ho
0.1137 0.1137 0.6590 Ho
0.0000 0.0000 0.0000 Li
0.5000 0.5000 0.5000 Rh

---

Record 2
RuO2F | Alexandria | PBE-GGA | optimized geometry; volume = 34.0 Å³ per cell; E_form (uncorrected) = -4.23 kJ per mole of atoms; energy above the lowest structure with this stoichiometry = 3.98 eV per formula unit; total magnetic moment = 1.11 μB per cell
1.0
0.0000 2.5714 2.5714
2.5714 0.0000 2.5714
2.5714 2.5714 0.0000
F Ru O
1 1 2
direct
0.0000 0.0000 0.0000 F
0.5000 0.5000 0.5000 Ru
0.7500 0.7500 0.7500 O
0.2500 0.2500 0.2500 O

---

Record 3
K3UF8 | Alexandria | PBE-GGA | optimized geometry; volume = 214.3 Å³ per cell; E_form (uncorrected) = -314.03 kJ per mole of atoms; total magnetic moment = 1.00 μB per cell
1.0
5.4842 0.0000 -2.4534
-1.0975 5.3732 -2.4534
-0.0247 -0.0303 7.3011
K F U
3 8 1
direct
0.7500 0.2500 0.5000 K
0.2500 0.7500 0.5000 K
0.5000 0.5000 0.0000 K
0.3208 0.3208 0.2158 F
0.8949 0.8949 0.2158 F
0.3208 0.8949 0.2158 F
0.6792 0.1051 0.7842 F
0.8949 0.3208 0.2158 F
0.1051 0.6792 0.7842 F
0.1051 0.1051 0.7842 F
0.6792 0.6792 0.7842 F
0.0000 0.0000 0.0000 U